# DyTm3Th2P6

A geometry-optimized DyTm3Th2P6 structure (GGA-PBE, Alexandria).

```
12
Lattice="8.7655 -2.0186 0.0000 8.7655 2.0186 0.0000 -1.8110 0.0000 7.8273" Properties=species:S:1:pos:R:3 pbc="T T T"
Dy 0.0000 0.0000 0.0000
Tm -0.9055 0.0000 3.9136
Tm 5.5547 0.0000 1.2994
Tm 10.1653 0.0000 6.5279
Th 4.6623 0.0000 5.2453
Th 11.0578 0.0000 2.5819
P 1.8152 0.0000 4.6127
P 2.7962 0.0000 0.5903
P 8.2637 0.0000 1.9662
P 7.4564 0.0000 5.8611
P 12.9239 0.0000 7.2369
P 13.9049 0.0000 3.2146
```

Results
M_tot, μB per cell: 0.00
VASP energy, eV per cell: -84.4
Space-group type: C2/m (12)
Calculated volume, Å³/f.u.: 277.0
Formation enthalpy at 0 K, eV per atom: -1.591
Fermi-level density of states, states/eV per atom: 0.303